No. 1
Y3In2Ag: optimized geometry, PBE.

Results
* SG: P-3m1
* polymorph energy (0 for the lowest one): 6.4 meV per atom

a b c (Å): 5.275 5.275 12.960
angles (deg): 90.00 90.00 120.00
Positions (direct):
1 In 0.000 0.000 0.000
2 In 0.333 0.667 0.171
3 Y 0.000 0.000 0.747
4 In 0.000 0.000 0.500
5 Ag 0.333 0.667 0.669
6 Ag 0.667 0.333 0.331
7 Y 0.333 0.667 0.417
8 In 0.667 0.333 0.829
9 Y 0.667 0.333 0.583
10 Y 0.000 0.000 0.253
11 Y 0.333 0.667 0.913
12 Y 0.667 0.333 0.087


No. 2
Y2In8Ag: optimized geometry, PBE.

Results
* SG: P4/mmm

a b c (Å): 4.740 4.740 12.289
angles (deg): 90.00 90.00 90.00
Positions (direct):
1 In 0.500 0.500 0.688
2 Y 0.000 0.000 0.313
3 In 0.500 0.500 0.312
4 In 0.500 0.000 0.868
5 In 0.000 0.500 0.868
6 In 0.500 0.000 0.500
7 Ag 0.000 0.000 0.000
8 In 0.500 0.000 0.132
9 In 0.000 0.500 0.500
10 Y 0.000 0.000 0.687
11 In 0.000 0.500 0.132


No. 3
YInAg3: optimized geometry, PBE.

Results
* SG: Pm-3m
* polymorph energy (0 for the lowest one): 854.5 meV per atom

a b c (Å): 5.556 5.556 5.556
angles (deg): 90.00 90.00 90.00
Positions (direct):
1 Ag 0.000 0.500 0.000
2 Y 0.000 0.000 0.000
3 In 0.500 0.500 0.500
4 Ag 0.000 0.000 0.500
5 Ag 0.500 0.000 0.000


No. 4
Y2InAg2: optimized geometry, PBE.

Results
* SG: I4/mmm

a b c (Å): 3.806 3.806 9.306
angles (deg): 78.20 78.20 90.00
Positions (direct):
1 Ag 0.250 0.750 0.500
2 Y 0.608 0.608 0.784
3 Y 0.392 0.392 0.216
4 Ag 0.750 0.250 0.500
5 In 0.000 0.000 0.000


No. 5
Y3In3Ag: optimized geometry, PBE.

Results
* SG: C2/m

a b c (Å): 4.646 6.104 14.432
angles (deg): 83.67 80.74 67.63
Positions (direct):
1 Y 0.534 0.314 0.618
2 Y 0.399 0.280 0.923
3 Y 0.601 0.720 0.077
4 Y 0.466 0.686 0.382
5 In 0.984 0.800 0.231
6 In 0.135 0.276 0.454
7 In 0.881 0.163 0.075
8 In 0.865 0.724 0.546
9 Ag 0.240 0.906 0.614
10 Y 0.269 0.237 0.225
11 Ag 0.760 0.094 0.386
12 In 0.016 0.200 0.769
13 In 0.119 0.837 0.925
14 Y 0.731 0.763 0.775


No. 6
YZnIn2Ag: optimized geometry, PBE.

Results
* SG: P4/mmm

a b c (Å): 5.017 5.417 5.017
angles (deg): 90.00 90.00 90.00
Positions (direct):
1 Zn 0.000 0.000 0.000
2 In 0.000 0.000 0.500
3 Ag 0.500 0.500 0.500
4 In 0.500 0.000 0.000
5 Y 0.000 0.500 0.000


No. 7
YZnInAg: optimized geometry, PBE.

Results
* SG: F-43m

a b c (Å): 4.906 4.906 4.906
angles (deg): 60.00 60.00 60.00
Positions (direct):
1 Zn 0.250 0.250 0.250
2 In 0.000 0.000 0.000
3 Ag 0.750 0.750 0.750
4 Y 0.500 0.500 0.500


No. 8
ZnIn2Ag2: optimized geometry, PBE.

Results
* SG: I4/mmm
* polymorph energy (0 for the lowest one): 136.9 meV per atom

a b c (Å): 3.925 3.925 7.756
angles (deg): 75.34 75.34 90.00
Positions (direct):
1 Ag 0.750 0.250 0.500
2 Ag 0.250 0.750 0.500
3 In 0.401 0.401 0.198
4 In 0.599 0.599 0.802
5 Zn 0.000 0.000 0.000


No. 9
Zn2In2Ag3: optimized geometry, PBE.

Results
* SG: P-1

a b c (Å): 4.869 5.055 5.863
angles (deg): 88.34 79.18 106.29
Positions (direct):
1 Ag 0.751 0.428 0.203
2 In 0.403 0.821 0.263
3 In 0.597 0.179 0.737
4 Zn 0.848 0.748 0.592
5 Zn 0.152 0.252 0.408
6 Ag 0.249 0.572 0.797
7 Ag 0.000 0.000 0.000


No. 10
Zn5InAg7: optimized geometry, PBE.

Results
* SG: Imm2

a b c (Å): 5.210 7.094 7.094
angles (deg): 80.61 68.46 68.46
Positions (direct):
1 In 0.993 0.007 0.007
2 Ag 0.000 0.344 0.657
3 Ag 0.642 0.358 0.358
4 Ag 0.271 0.229 0.229
5 Zn 0.502 0.996 0.501
6 Zn 0.502 0.501 0.996
7 Zn 0.002 0.996 0.501
8 Ag 0.345 0.655 0.655
9 Zn 0.002 0.501 0.996
10 Ag 0.000 0.657 0.344
11 Ag 0.505 0.801 0.190
12 Ag 0.505 0.190 0.801
13 Zn 0.733 0.767 0.767


No. 11
Zn2InAg: optimized geometry, PBE.

Results
* SG: I-4m2

a b c (Å): 5.119 5.119 5.119
angles (deg): 131.65 131.65 70.79
Positions (direct):
1 Ag 0.500 0.500 0.000
2 Zn 0.000 0.000 0.000
3 In 0.750 0.250 0.500
4 Zn 0.250 0.750 0.500


No. 12
ZnIn2Ag2: optimized geometry, PBE.

Results
* SG: C2/c
* polymorph energy (0 for the lowest one): 0.0 meV per atom

a b c (Å): 5.828 5.828 7.399
angles (deg): 79.17 79.17 56.88
Positions (direct):
1 In 0.471 0.218 0.138
2 Ag 0.754 0.000 0.476
3 In 0.529 0.782 0.862
4 In 0.782 0.529 0.362
5 Zn 0.756 0.244 0.750
6 In 0.218 0.471 0.638
7 Ag 0.000 0.246 0.024
8 Ag 0.246 0.000 0.524
9 Ag 0.000 0.754 0.976
10 Zn 0.244 0.756 0.250


Fermi-level density of states across the listed records, respectively: 0.832; 0.429; 0.508; 0.617; 0.662; 0.476; 0.592; 0.346; 0.260; 0.227; 0.258; 0.343 states/eV/atom.
Calculated formation energy across the listed records, respectively: -0.45; -0.29; 0.76; -0.16; -0.44; 0.24; -0.33; 0.16; 0.04; -0.01; 0.07; 0.02 eV/atom.
M_tot across the listed records, respectively: 0.00; 0.00; 0.00; 0.00; 0.00; 0.00; 0.00; 0.00; 0.00; 0.00; 0.00; 0.00 μB per atom.